First-principles (GGA+U) data for ScFe2PbO6 after structural relaxation, as listed in Alexandria via LeMat-Bulk.

The energy comes out at -0.2482 hartree per atom. The value obtained for the total magnetization is 9.000 μB/f.u.

```
ScFe2PbO6
1.0
5.439 0.000 -0.051
0.000 5.494 0.000
-0.029 0.000 8.059
Sc Fe Pb O
2 4 2 12
Cartesian
2.719 0.000 -0.025
-0.015 2.747 4.030
5.355 5.343 1.852
2.621 2.898 5.907
0.055 0.151 6.157
2.789 2.596 2.102
2.705 0.000 4.004
0.000 2.747 0.000
1.863 3.703 0.722
4.568 4.538 4.726
3.547 1.791 7.287
0.842 0.956 3.282
1.816 3.608 3.518
4.521 4.634 7.522
3.593 1.887 4.491
0.888 0.860 0.487
4.661 3.382 2.038
1.927 4.859 6.093
0.749 2.112 5.971
3.482 0.635 1.916
```